# BeAlCl

Crystalline BeAlCl at its relaxed geometry (PBE-GGA, Alexandria).

Unit cell a=4.5136 b=4.5136 c=4.5136 alpha=60.00 beta=60.00 gamma=60.00
With the nearest neighbours (Å) after each atom.
Fractional positions:
1 Be 0.0000 0.0000 0.0000  4 Al 2.76, 4 Cl 2.76
2 Al 0.7500 0.7500 0.7500  4 Be 2.76
3 Cl 0.2500 0.2500 0.2500  4 Be 2.76

E: -2.43 eV per atom
uncorrected formation energy: 196 kJ/mol of formula units
relative energy among the computed polymorphs: 0.783 eV/atom
crystal system: cubic
SG: F-43m, No. 216



# BeAl2Cl

Crystalline BeAl2Cl at its relaxed geometry (PBE-GGA, Alexandria).

Unit cell a=2.9965 b=2.9965 c=7.0569 alpha=90.00 beta=90.00 gamma=90.00
With the nearest neighbours (Å) after each atom.
Fractional positions:
1 Be 0.0000 0.0000 0.0000  8 Al 2.57
2 Al 0.5000 0.5000 0.2052  4 Be 2.57
3 Al 0.5000 0.5000 0.7948  4 Be 2.57
4 Cl 0.0000 0.0000 0.5000  8 Al 2.97, 4 Cl 3.00

E: -3.13 eV per atom
uncorrected formation energy: 50 kJ/mol of formula units
relative energy among the computed polymorphs: 0.237 eV/atom
crystal system: tetragonal
SG: P4/mmm, No. 123



# BeAl2Cl

Crystalline BeAl2Cl at its relaxed geometry (PBE-GGA, Alexandria).

Unit cell a=9.8393 b=9.8393 c=9.8393 alpha=17.59 beta=17.59 gamma=17.59
With the nearest neighbours (Å) after each atom.
Fractional positions:
1 Be 0.0000 0.0000 0.0000  3 Cl 2.13
2 Al 0.4786 0.4786 0.4786  9 Al 2.83-3.01
3 Al 0.7352 0.7352 0.7352  3 Be 2.64, 3 Al 2.83
4 Cl 0.2910 0.2910 0.2910  3 Be 2.13

E: -3.37 eV per atom
uncorrected formation energy: -41 kJ/mol of formula units
relative energy among the computed polymorphs: 0.000 eV/atom
crystal system: trigonal
SG: R3m, No. 160



# Cs2BeAlCl6

Crystalline Cs2BeAlCl6 at its relaxed geometry (PBE-GGA, Alexandria).

Unit cell a=7.3365 b=7.3365 c=7.3365 alpha=123.21 beta=123.21 gamma=84.52
With the nearest neighbours (Å) after each atom.
Fractional positions:
1 Cs 0.2500 0.7500 0.5000  12 Cl 3.50-3.68
2 Cs 0.7500 0.2500 0.5000  12 Cl 3.50-3.68
3 Be 0.0000 0.0000 0.0000  4 Cl 2.23
4 Al 0.5000 0.5000 0.0000  2 Cl 2.40
5 Cl 0.2263 0.2263 0.4526  1 Be 2.23
6 Cl 0.2263 0.7737 0.0000  1 Be 2.23
7 Cl 0.2786 0.2786 0.0000  1 Al 2.40
8 Cl 0.7214 0.7214 0.0000  1 Al 2.40
9 Cl 0.7737 0.2263 0.0000  1 Be 2.23
10 Cl 0.7737 0.7737 0.5474  1 Be 2.23

E: -3.40 eV per atom
uncorrected formation energy: -1328 kJ/mol of formula units
crystal system: tetragonal
SG: I4/mmm, No. 139